[1]
An optimized crystal structure of Ta3Nb3Mo. Source: the Alexandria database, functional PBE.

Geometry as CIF:
```
data_Ta3Nb3Mo
_cell_length_a 5.7228
_cell_length_b 8.8790
_cell_length_c 10.3566
_cell_angle_alpha 90.00
_cell_angle_beta 96.96
_cell_angle_gamma 90.00
_symmetry_space_group_name_H-M 'C 1 2/m 1'
_symmetry_Int_Tables_number 12
_symmetry_space_group_name_Hall '-C 2y'
loop_
_atom_site_label
_atom_site_fract_x
_atom_site_fract_y
_atom_site_fract_z
Ta1 0.0000 0.1726 0.0000
Ta2 0.0000 0.2546 0.5000
Ta3 0.0832 0.5000 0.8827
Nb1 0.1394 0.0000 0.3603
Nb2 0.2212 0.2306 0.7653
Mo1 0.1305 0.5000 0.3738
```

Computed properties:
DFT formation energy ... 213 meV per atom
D(E_F) ... 25.904 states/eV/cell



[2]
An optimized crystal structure of TaNbMo2. Source: the Alexandria database, functional PBE.

Geometry as CIF:
```
data_TaNbMo2
_cell_length_a 7.2457
_cell_length_b 7.2457
_cell_length_c 5.5388
_cell_angle_alpha 90.00
_cell_angle_beta 90.00
_cell_angle_gamma 90.00
_symmetry_space_group_name_H-M 'I -4 2 d'
_symmetry_Int_Tables_number 122
_symmetry_space_group_name_Hall 'I -4 2bw'
loop_
_atom_site_label
_atom_site_fract_x
_atom_site_fract_y
_atom_site_fract_z
Ta1 0.0000 0.0000 0.0000
Nb1 0.0000 0.0000 0.5000
Mo1 0.2485 0.2500 0.6250
```

Computed properties:
DFT formation energy ... 683 meV per atom
D(E_F) ... 14.744 states/eV/cell



[3]
An optimized crystal structure of Ta2Nb6Mo3. Source: the Alexandria database, functional PBE.

Geometry as CIF:
```
data_Ta2Nb6Mo3
_cell_length_a 2.6601
_cell_length_b 4.7614
_cell_length_c 31.0836
_cell_angle_alpha 90.00
_cell_angle_beta 90.00
_cell_angle_gamma 90.00
_symmetry_space_group_name_H-M 'I m m m'
_symmetry_Int_Tables_number 71
_symmetry_space_group_name_Hall '-I 2 2'
loop_
_atom_site_label
_atom_site_fract_x
_atom_site_fract_y
_atom_site_fract_z
Ta1 0.0000 0.0000 0.0443
Nb1 0.0000 0.0000 0.2249
Nb2 0.0000 0.5000 0.0927
Nb3 0.0000 0.5000 0.3651
Mo1 0.0000 0.0000 0.3161
Mo2 0.0000 0.0000 0.5000
```

Computed properties:
DFT formation energy ... 243 meV per atom
D(E_F) ... 22.790 states/eV/cell



[4]
An optimized crystal structure of Ta2Nb3Mo8. Source: the Alexandria database, functional PBE.

Geometry as CIF:
```
data_Ta2Nb3Mo8
_cell_length_a 12.9953
_cell_length_b 6.7175
_cell_length_c 5.3917
_cell_angle_alpha 90.00
_cell_angle_beta 92.26
_cell_angle_gamma 90.00
_symmetry_space_group_name_H-M 'C 1 2/m 1'
_symmetry_Int_Tables_number 12
_symmetry_space_group_name_Hall '-C 2y'
loop_
_atom_site_label
_atom_site_fract_x
_atom_site_fract_y
_atom_site_fract_z
Ta1 0.1942 0.0000 0.2404
Nb1 0.0000 0.0000 0.5000
Nb2 0.0000 0.1992 0.0000
Mo1 0.1185 0.3211 0.5174
Mo2 0.1318 0.5000 0.0299
Mo3 0.1960 0.0000 0.7561
```

Computed properties:
DFT formation energy ... 531 meV per atom
D(E_F) ... 27.373 states/eV/cell



[5]
An optimized crystal structure of Ta2Nb3Mo4. Source: the Alexandria database, functional PBE.

Geometry as CIF:
```
data_Ta2Nb3Mo4
_cell_length_a 11.4730
_cell_length_b 8.8010
_cell_length_c 3.1566
_cell_angle_alpha 90.00
_cell_angle_beta 91.65
_cell_angle_gamma 90.00
_symmetry_space_group_name_H-M 'C 1 2/m 1'
_symmetry_Int_Tables_number 12
_symmetry_space_group_name_Hall '-C 2y'
loop_
_atom_site_label
_atom_site_fract_x
_atom_site_fract_y
_atom_site_fract_z
Ta1 0.2078 0.0000 0.1709
Nb1 0.0000 0.0000 0.5000
Nb2 0.0965 0.5000 0.2686
Mo1 0.1259 0.2462 0.7519
```

Computed properties:
DFT formation energy ... 340 meV per atom
D(E_F) ... 14.462 states/eV/cell



[6]
An optimized crystal structure of Ta2Nb2Mo. Source: the Alexandria database, functional PBE.

Geometry as CIF:
```
data_Ta2Nb2Mo
_cell_length_a 6.1398
_cell_length_b 8.6306
_cell_length_c 7.4776
_cell_angle_alpha 90.00
_cell_angle_beta 112.02
_cell_angle_gamma 90.00
_symmetry_space_group_name_H-M 'C 1 2/m 1'
_symmetry_Int_Tables_number 12
_symmetry_space_group_name_Hall '-C 2y'
loop_
_atom_site_label
_atom_site_fract_x
_atom_site_fract_y
_atom_site_fract_z
Ta1 0.1598 0.1871 0.2075
Nb1 0.0995 0.5000 0.3762
Nb2 0.2473 0.5000 0.0693
Mo1 0.0000 0.1736 0.5000
```

Computed properties:
DFT formation energy ... 236 meV per atom
D(E_F) ... 19.920 states/eV/cell